1.
Density functional theory data (PBE) for an optimized crystal structure of HoZnSn2.

a b c (Å): 4.3538 4.3538 9.8005
angles (deg): 90.00 90.00 90.00
Sites, in units of the cell vectors:
Ho  0.2500  0.2500  0.2492
Ho  0.7500  0.7500  0.7508
Zn  0.2500  0.7500  0.0000
Zn  0.7500  0.2500  0.0000
Sn  0.2500  0.2500  0.8136
Sn  0.2500  0.7500  0.5000
Sn  0.7500  0.2500  0.5000
Sn  0.7500  0.7500  0.1864

formation energy from the elements = -0.44 eV/atom
density = 8.36 g/cm³
DFT total energy = -3.904 eV/atom

=====

2.
Density functional theory data (PBE) for an optimized crystal structure of HoZr2Sn.

a b c (Å): 11.5637 11.5637 11.5637
angles (deg): 15.92 15.92 15.92
Sites, in units of the cell vectors:
Ho  0.0000  0.0000  0.0000
Zr  0.0927  0.0927  0.0927
Zr  0.9073  0.9073  0.9073
Sn  0.5000  0.5000  0.5000

formation energy from the elements = 0.12 eV/atom
density = 7.63 g/cm³
energy above the most stable polymorph in this dataset = 581.9 meV per atom
DFT total energy = -6.297 eV/atom

=====

3.
Density functional theory data (PBE) for an optimized crystal structure of Ho5Zr12Sn3.

a b c (Å): 14.9405 14.9405 14.9405
angles (deg): 109.47 109.47 109.47
Sites, in units of the cell vectors:
Ho  0.0000  0.0000  0.0000
Ho  0.0000  0.0000  0.5000
Ho  0.0000  0.5000  0.0000
Ho  0.0000  0.5000  0.5000
Ho  0.1250  0.7500  0.8750
Ho  0.1250  0.8750  0.2500
Ho  0.2500  0.1250  0.8750
Ho  0.2500  0.6250  0.3750
Ho  0.3750  0.2500  0.6250
Ho  0.3750  0.6250  0.7500
Ho  0.5000  0.0000  0.0000
Ho  0.5000  0.0000  0.5000
Ho  0.5000  0.5000  0.0000
Ho  0.5000  0.5000  0.5000
Ho  0.6250  0.3750  0.2500
Ho  0.6250  0.7500  0.3750
Ho  0.7500  0.3750  0.6250
Ho  0.7500  0.8750  0.1250
Ho  0.8750  0.1250  0.7500
Ho  0.8750  0.2500  0.1250
Zr  0.0730  0.6543  0.4245
Zr  0.0730  0.9186  0.6484
Zr  0.0755  0.7298  0.6484
Zr  0.0755  0.8457  0.4270
Zr  0.0814  0.2298  0.1543
Zr  0.0814  0.3516  0.9270
Zr  0.1484  0.2298  0.5755
Zr  0.1484  0.4186  0.5730
Zr  0.1543  0.0814  0.2298
Zr  0.1543  0.5730  0.9245
Zr  0.2298  0.1543  0.0814
Zr  0.2298  0.5755  0.1484
Zr  0.2702  0.3516  0.9245
Zr  0.2702  0.4186  0.3457
Zr  0.3457  0.2702  0.4186
Zr  0.3457  0.5755  0.9270
Zr  0.3516  0.9245  0.2702
Zr  0.3516  0.9270  0.0814
Zr  0.4186  0.3457  0.2702
Zr  0.4186  0.5730  0.1484
Zr  0.4245  0.0730  0.6543
Zr  0.4245  0.8516  0.7702
Zr  0.4270  0.0755  0.8457
Zr  0.4270  0.8516  0.5814
Zr  0.5730  0.1484  0.4186
Zr  0.5730  0.9245  0.1543
Zr  0.5755  0.1484  0.2298
Zr  0.5755  0.9270  0.3457
Zr  0.5814  0.4270  0.8516
Zr  0.5814  0.6543  0.7298
Zr  0.6484  0.0730  0.9186
Zr  0.6484  0.0755  0.7298
Zr  0.6543  0.4245  0.0730
Zr  0.6543  0.7298  0.5814
Zr  0.7298  0.5814  0.6543
Zr  0.7298  0.6484  0.0755
Zr  0.7702  0.4245  0.8516
Zr  0.7702  0.8457  0.9186
Zr  0.8457  0.4270  0.0755
Zr  0.8457  0.9186  0.7702
Zr  0.8516  0.5814  0.4270
Zr  0.8516  0.7702  0.4245
Zr  0.9186  0.6484  0.0730
Zr  0.9186  0.7702  0.8457
Zr  0.9245  0.1543  0.5730
Zr  0.9245  0.2702  0.3516
Zr  0.9270  0.0814  0.3516
Zr  0.9270  0.3457  0.5755
Sn  0.1250  0.2500  0.3750
Sn  0.1250  0.3750  0.7500
Sn  0.2500  0.3750  0.1250
Sn  0.2500  0.8750  0.6250
Sn  0.3750  0.1250  0.2500
Sn  0.3750  0.7500  0.1250
Sn  0.6250  0.2500  0.8750
Sn  0.6250  0.8750  0.7500
Sn  0.7500  0.1250  0.3750
Sn  0.7500  0.6250  0.8750
Sn  0.8750  0.6250  0.2500
Sn  0.8750  0.7500  0.6250

formation energy from the elements = 0.92 eV/atom
density = 5.89 g/cm³
DFT total energy = -5.956 eV/atom

=====

4.
Density functional theory data (PBE) for an optimized crystal structure of HoZr2Sn.

a b c (Å): 4.3790 4.3798 10.8618
angles (deg): 90.00 101.58 90.00
Sites, in units of the cell vectors:
Ho  0.1897  0.2500  0.3806
Ho  0.8103  0.7500  0.6194
Zr  0.0545  0.7500  0.1095
Zr  0.4470  0.7500  0.8934
Zr  0.5530  0.2500  0.1066
Zr  0.9455  0.2500  0.8905
Sn  0.3396  0.2500  0.6775
Sn  0.6604  0.7500  0.3225

formation energy from the elements = -0.46 eV/atom
density = 7.58 g/cm³
energy above the most stable polymorph in this dataset = 0.0 meV per atom
DFT total energy = -6.879 eV/atom

=====

5.
Density functional theory data (PBE) for an optimized crystal structure of HoZrSn2.

a b c (Å): 3.8919 3.8919 6.4865
angles (deg): 90.00 90.00 90.00
Sites, in units of the cell vectors:
Ho  0.0000  0.0000  0.0000
Zr  0.0000  0.0000  0.5000
Sn  0.5000  0.5000  0.2691
Sn  0.5000  0.5000  0.7309

formation energy from the elements = -0.47 eV/atom
density = 8.34 g/cm³
energy above the most stable polymorph in this dataset = 0.0 meV per atom
DFT total energy = -5.750 eV/atom

=====

6.
Density functional theory data (PBE) for an optimized crystal structure of Ho3Zr2Sn3.

a b c (Å): 8.8187 8.8187 6.0897
angles (deg): 90.00 90.00 120.00
Sites, in units of the cell vectors:
Ho  0.0000  0.2401  0.2500
Ho  0.0000  0.7599  0.7500
Ho  0.2401  0.0000  0.2500
Ho  0.2401  0.2401  0.7500
Ho  0.7599  0.0000  0.7500
Ho  0.7599  0.7599  0.2500
Zr  0.3333  0.6667  0.0000
Zr  0.3333  0.6667  0.5000
Zr  0.6667  0.3333  0.0000
Zr  0.6667  0.3333  0.5000
Sn  0.0000  0.3999  0.7500
Sn  0.0000  0.6001  0.2500
Sn  0.3999  0.0000  0.7500
Sn  0.3999  0.3999  0.2500
Sn  0.6001  0.0000  0.2500
Sn  0.6001  0.6001  0.7500

formation energy from the elements = -0.67 eV/atom
density = 8.37 g/cm³
DFT total energy = -6.021 eV/atom

=====

7.
Density functional theory data (PBE) for an optimized crystal structure of HoZr2Sn.

a b c (Å): 4.5600 4.5600 4.5726
angles (deg): 90.00 90.00 90.00
Sites, in units of the cell vectors:
Ho  0.0000  0.0000  0.0000
Zr  0.0000  0.5000  0.5000
Zr  0.5000  0.0000  0.5000
Sn  0.5000  0.5000  0.0000

formation energy from the elements = -0.32 eV/atom
density = 8.14 g/cm³
energy above the most stable polymorph in this dataset = 141.7 meV per atom
DFT total energy = -6.738 eV/atom

=====

8.
Density functional theory data (PBE) for an optimized crystal structure of HoZrSn2.

a b c (Å): 4.6833 4.6833 4.3856
angles (deg): 90.00 90.00 90.00
Sites, in units of the cell vectors:
Ho  0.0000  0.0000  0.0000
Zr  0.5000  0.5000  0.0000
Sn  0.0000  0.5000  0.5000
Sn  0.5000  0.0000  0.5000

formation energy from the elements = -0.47 eV/atom
density = 8.52 g/cm³
energy above the most stable polymorph in this dataset = 2.2 meV per atom
DFT total energy = -5.748 eV/atom

=====

9.
Density functional theory data (PBE) for an optimized crystal structure of HoZrSn2.

a b c (Å): 10.1890 10.1890 10.1890
angles (deg): 19.18 19.18 19.18
Sites, in units of the cell vectors:
Ho  0.0000  0.0000  0.0000
Zr  0.5000  0.5000  0.5000
Sn  0.2464  0.2464  0.2464
Sn  0.7536  0.7536  0.7536

formation energy from the elements = -0.37 eV/atom
density = 8.21 g/cm³
energy above the most stable polymorph in this dataset = 98.6 meV per atom
DFT total energy = -5.652 eV/atom

=====

10.
Density functional theory data (PBE) for an optimized crystal structure of Sr6Ho.

a b c (Å): 8.6643 8.6643 8.6643
angles (deg): 109.47 109.47 109.47
Sites, in units of the cell vectors:
Sr  0.2500  0.5000  0.7500
Sr  0.2500  0.7500  0.5000
Sr  0.5000  0.2500  0.7500
Sr  0.5000  0.7500  0.2500
Sr  0.7500  0.2500  0.5000
Sr  0.7500  0.5000  0.2500
Ho  0.0000  0.0000  0.0000

formation energy from the elements = 1.31 eV/atom
density = 2.29 g/cm³
DFT total energy = -0.783 eV/atom

=====

11.
Density functional theory data (PBE) for an optimized crystal structure of SrHo3.

a b c (Å): 3.6679 5.8137 6.5551
angles (deg): 90.00 90.00 90.00
Sites, in units of the cell vectors:
Sr  0.0000  0.0000  0.0000
Ho  0.0000  0.5000  0.6566
Ho  0.5000  0.0000  0.4975
Ho  0.5000  0.5000  0.1927

formation energy from the elements = 0.18 eV/atom
density = 6.92 g/cm³
DFT total energy = -3.671 eV/atom

=====

12.
Density functional theory data (PBE) for an optimized crystal structure of Sr5Ho.

a b c (Å): 10.4085 10.4085 4.4174
angles (deg): 90.00 90.00 143.23
Sites, in units of the cell vectors:
Sr  0.0000  0.0000  0.0000
Sr  0.1708  0.8292  0.5000
Sr  0.3476  0.6524  0.0000
Sr  0.6524  0.3476  0.0000
Sr  0.8292  0.1708  0.5000
Ho  0.5000  0.5000  0.5000

formation energy from the elements = 0.13 eV/atom
density = 3.50 g/cm³
DFT total energy = -2.036 eV/atom

=====

13.
Density functional theory data (PBE) for an optimized crystal structure of Sr4Ho.

a b c (Å): 6.6147 6.6147 6.6147
angles (deg): 90.00 90.00 90.00
Sites, in units of the cell vectors:
Sr  0.0000  0.0000  0.0000
Sr  0.0000  0.5000  0.5000
Sr  0.5000  0.0000  0.5000
Sr  0.5000  0.5000  0.0000
Ho  0.5000  0.5000  0.5000

formation energy from the elements = 0.56 eV/atom
density = 2.96 g/cm³
DFT total energy = -1.700 eV/atom

=====

14.
Density functional theory data (PBE) for an optimized crystal structure of SrHo5.

a b c (Å): 9.6324 9.6324 3.7540
angles (deg): 90.00 90.00 144.23
Sites, in units of the cell vectors:
Sr  0.0000  0.0000  0.0000
Ho  0.1883  0.8117  0.5000
Ho  0.3474  0.6526  0.0000
Ho  0.5000  0.5000  0.5000
Ho  0.6526  0.3474  0.0000
Ho  0.8117  0.1883  0.5000

formation energy from the elements = 0.19 eV/atom
density = 7.44 g/cm³
DFT total energy = -3.900 eV/atom

=====

15.
Density functional theory data (PBE) for an optimized crystal structure of SrTbHo2.

a b c (Å): 3.6695 3.6695 10.5453
angles (deg): 90.00 90.00 90.00
Sites, in units of the cell vectors:
Sr  0.0000  0.0000  0.0000
Tb  0.0000  0.0000  0.5000
Ho  0.5000  0.5000  0.2794
Ho  0.5000  0.5000  0.7206

formation energy from the elements = 0.13 eV/atom
density = 6.74 g/cm³
energy above the most stable polymorph in this dataset = 0.0 meV per atom
DFT total energy = -3.738 eV/atom

=====

16.
Density functional theory data (PBE) for an optimized crystal structure of SrTbHo2.

a b c (Å): 12.2749 12.2749 12.2749
angles (deg): 17.13 17.13 17.13
Sites, in units of the cell vectors:
Sr  0.0000  0.0000  0.0000
Tb  0.1657  0.1657  0.1657
Ho  0.5764  0.5764  0.5764
Ho  0.7557  0.7557  0.7557

formation energy from the elements = 0.13 eV/atom
density = 6.83 g/cm³
energy above the most stable polymorph in this dataset = 3.4 meV per atom
DFT total energy = -3.735 eV/atom

=====

17.
Density functional theory data (PBE) for an optimized crystal structure of SrTb2Ho.

a b c (Å): 12.3253 12.3253 12.3253
angles (deg): 17.12 17.12 17.12
Sites, in units of the cell vectors:
Sr  0.0000  0.0000  0.0000
Tb  0.5761  0.5761  0.5761
Tb  0.7561  0.7561  0.7561
Ho  0.1658  0.1658  0.1658

formation energy from the elements = 0.13 eV/atom
density = 6.69 g/cm³
energy above the most stable polymorph in this dataset = 5.8 meV per atom
DFT total energy = -3.754 eV/atom

=====

18.
Density functional theory data (PBE) for an optimized crystal structure of SrTb2Ho.

a b c (Å): 12.9565 12.9565 12.9565
angles (deg): 15.98 15.98 15.98
Sites, in units of the cell vectors:
Sr  0.0000  0.0000  0.0000
Tb  0.0933  0.0933  0.0933
Tb  0.9067  0.9067  0.9067
Ho  0.5000  0.5000  0.5000

formation energy from the elements = 0.22 eV/atom
density = 6.59 g/cm³
energy above the most stable polymorph in this dataset = 98.3 meV per atom
DFT total energy = -3.662 eV/atom

=====

19.
Density functional theory data (PBE) for an optimized crystal structure of SrTb2Ho.

a b c (Å): 3.6743 3.6743 10.5727
angles (deg): 90.00 90.00 90.00
Sites, in units of the cell vectors:
Sr  0.0000  0.0000  0.0000
Tb  0.5000  0.5000  0.2793
Tb  0.5000  0.5000  0.7207
Ho  0.0000  0.0000  0.5000

formation energy from the elements = 0.12 eV/atom
density = 6.64 g/cm³
energy above the most stable polymorph in this dataset = 0.0 meV per atom
DFT total energy = -3.760 eV/atom

=====

20.
Density functional theory data (PBE) for an optimized crystal structure of SrTbHo2.

a b c (Å): 12.9025 12.9025 12.9025
angles (deg): 16.02 16.02 16.02
Sites, in units of the cell vectors:
Sr  0.0000  0.0000  0.0000
Tb  0.5000  0.5000  0.5000
Ho  0.0930  0.0930  0.0930
Ho  0.9070  0.9070  0.9070

formation energy from the elements = 0.23 eV/atom
density = 6.71 g/cm³
energy above the most stable polymorph in this dataset = 99.7 meV per atom
DFT total energy = -3.638 eV/atom